A geometry-optimized TiNb3 structure, computed with GGA-PBE.

The formation energy comes out at 0.042 eV/f.u. The value obtained for the relative energy among the computed polymorphs is 0 meV per atom. The calculation puts the raw total energy at -9.52 eV per atom.

The structure belongs to space group P4/mmm (No. 123); the cell edges are 4.6624, 4.6624 and 3.2923 Å and the angles 90.00°, 90.00° and 90.00°. The inequivalent atoms are Ti at (0.0000, 0.0000, 0.0000), Nb at (0.0000, 0.5000, 0.5000) and Nb at (0.5000, 0.5000, 0.0000).

A geometry-optimized K2YPb structure, computed with GGA-PBE.

The formation energy comes out at 0.231 eV/f.u. The calculation puts the raw total energy at -3.03 eV per atom.

The structure belongs to space group P4/mmm (No. 123); the cell edges are 4.7655, 4.7655 and 6.3870 Å and the angles 90.00°, 90.00° and 90.00°. The inequivalent atoms are K at (0.0000, 0.5000, 0.0000), Y at (0.0000, 0.0000, 0.5000) and Pb at (0.5000, 0.5000, 0.5000).

A geometry-optimized CeHg2I8 structure, computed with GGA-PBE.

As for the uncorrected formation energy: -636 meV per atom. The calculation puts the raw total energy at -2.36 eV per atom.

The structure belongs to space group C2/m (No. 12); the cell edges are 14.1107, 10.8187 and 7.2611 Å and the angles 90.00°, 94.78° and 90.00°. The inequivalent atoms are Ce at (0.0000, 0.0000, 0.0000), Hg at (0.2164, 0.0000, 0.7231), I at (0.0908, 0.2037, 0.7749), I at (0.0948, 0.5000, 0.2844) and I at (0.1754, 0.0000, 0.2613).

A geometry-optimized Sr5Li2Ag5 structure, computed with GGA-PBE.

The formation energy comes out at -2.545 eV/f.u. The calculation puts the raw total energy at -2.42 eV per atom.

The structure belongs to space group C2/m (No. 12); the cell edges are 16.6748, 4.5228 and 12.5357 Å and the angles 90.00°, 130.57° and 90.00°. The inequivalent atoms are Sr at (0.0000, 0.0000, 0.0000), Sr at (0.1033, 0.0000, 0.4186), Sr at (0.1996, 0.0000, 0.8256), Li at (0.1472, 0.5000, 0.2637), Ag at (0.0000, 0.5000, 0.5000), Ag at (0.0574, 0.5000, 0.8468) and Ag at (0.2377, 0.5000, 0.6692).

A geometry-optimized BMoBr2 structure, computed with GGA-PBE.

As for the uncorrected formation energy: 1346 meV per atom. The value obtained for the relative energy among the computed polymorphs is 0 meV per atom. The calculation puts the raw total energy at -3.87 eV per atom.

The structure belongs to space group R-3m (No. 166, hexagonal axes); the cell edges are 3.2520, 3.2520 and 23.9891 Å and the angles 90.00°, 90.00° and 120.00°. The inequivalent atoms are B at (0.0000, 0.0000, 0.0000), Mo at (0.0000, 0.0000, 0.5000) and Br at (0.0000, 0.0000, 0.3974).

A geometry-optimized CrCd3 structure, computed with GGA-PBE.

The formation energy comes out at 0.978 eV/f.u. The calculation puts the raw total energy at -2.85 eV per atom.

The structure belongs to space group P4/mmm (No. 123); the cell edges are 3.1166, 3.1166 and 8.3771 Å and the angles 90.00°, 90.00° and 90.00°. The inequivalent atoms are Cr at (0.0000, 0.0000, 0.0000), Cd at (0.0000, 0.0000, 0.5000) and Cd at (0.5000, 0.5000, 0.2294).

A geometry-optimized Tl2SbCl structure, computed with GGA-PBE.

As for the uncorrected formation energy: -243 meV per atom. The value obtained for the relative energy among the computed polymorphs is 110 meV per atom. The calculation puts the raw total energy at -2.92 eV per atom.

The structure belongs to space group C2/m (No. 12); the cell edges are 8.4866, 3.2547 and 9.0332 Å and the angles 90.00°, 94.31° and 90.00°. The inequivalent atoms are Tl at (0.2441, 0.0000, 0.2268), Sb at (0.0000, 0.0000, 0.5000) and Cl at (0.0000, 0.5000, 0.0000).

A geometry-optimized Hg3SeO structure, computed with GGA-PBE.

As for the uncorrected formation energy: 199 meV per atom. The value obtained for the relative energy among the computed polymorphs is 259 meV per atom. The calculation puts the raw total energy at -1.67 eV per atom.

The structure belongs to space group Pm-3m (No. 221); the cell edges are 4.8115, 4.8115 and 4.8115 Å and the angles 90.00°, 90.00° and 90.00°. The inequivalent atoms are Hg at (0.0000, 0.0000, 0.5000), Se at (0.5000, 0.5000, 0.5000) and O at (0.0000, 0.0000, 0.0000).

A geometry-optimized Cr structure, computed with GGA-PBE.

The formation energy comes out at 1.284 eV/f.u. The value obtained for the relative energy among the computed polymorphs is 1284 meV per atom. The calculation puts the raw total energy at -8.34 eV per atom.

The structure belongs to space group P6/mmm (No. 191); the cell edges are 3.8186, 3.8186 and 2.3874 Å and the angles 90.00°, 90.00° and 120.00°. The inequivalent atoms are Cr at (0.3333, 0.6667, 0.0000).

A geometry-optimized Ac2Nd8In structure, computed with GGA-PBE.

The formation energy comes out at 0.405 eV/f.u. The calculation puts the raw total energy at -4.43 eV per atom.

The structure belongs to space group C2/m (No. 12); the cell edges are 15.5376, 6.9287 and 7.5825 Å and the angles 90.00°, 104.67° and 90.00°. The inequivalent atoms are Ac at (0.1889, 0.0000, 0.4283), Nd at (0.0759, 0.2697, 0.7061), Nd at (0.1053, 0.5000, 0.1726), Nd at (0.2170, 0.0000, 0.9916) and In at (0.0000, 0.0000, 0.0000).

A geometry-optimized Sm2RhPbO5 structure, computed with GGA-PBE.

As for the uncorrected formation energy: -2140 meV per atom. The calculation puts the raw total energy at -7.17 eV per atom.

The structure belongs to space group P4/mbm (No. 127); the cell edges are 6.7070, 6.7070 and 5.8673 Å and the angles 90.00°, 90.00° and 90.00°. The inequivalent atoms are Sm at (0.1737, 0.3263, 0.0000), Rh at (0.0000, 0.5000, 0.5000), Pb at (0.0000, 0.0000, 0.5000), O at (0.0000, 0.0000, 0.0000) and O at (0.1397, 0.6397, 0.2446).

A geometry-optimized LaTlCd2 structure, computed with GGA-PBE.

The formation energy comes out at -1.058 eV/f.u. The calculation puts the raw total energy at -2.55 eV per atom.

The structure belongs to space group I4/mmm (No. 139); the cell edges are 4.9256, 4.9256 and 9.0522 Å and the angles 90.00°, 90.00° and 90.00°. The inequivalent atoms are La at (0.0000, 0.0000, 0.0000), Tl at (0.0000, 0.0000, 0.5000) and Cd at (0.0000, 0.5000, 0.2500).

A geometry-optimized BaMg2Sb structure, computed with GGA-PBE.

As for the uncorrected formation energy: 74 meV per atom. The calculation puts the raw total energy at -2.23 eV per atom.

The structure belongs to space group R-3m (No. 166, hexagonal axes); the cell edges are 3.5469, 3.5469 and 33.4351 Å and the angles 90.00°, 90.00° and 120.00°. The inequivalent atoms are Ba at (0.0000, 0.0000, 0.0000), Mg at (0.0000, 0.0000, 0.2400) and Sb at (0.0000, 0.0000, 0.5000).

A geometry-optimized Pr3CdS6 structure, computed with GGA-PBE.

As for the uncorrected formation energy: -1561 meV per atom. The calculation puts the raw total energy at -5.56 eV per atom.

The structure belongs to space group Cmc2_1 (No. 36); the cell edges are 11.1124, 13.4890 and 6.9561 Å and the angles 90.00°, 90.00° and 90.00°. The inequivalent atoms are Pr at (0.0000, 0.1016, 0.0000), Pr at (0.1828, 0.4006, 0.9100), Cd at (0.0000, 0.3012, 0.3865), S at (0.0000, 0.2751, 0.7433), S at (0.0000, 0.4701, 0.2077), S at (0.1615, 0.0304, 0.7058) and S at (0.1748, 0.2319, 0.1840).

A geometry-optimized GdMnCo2 structure, computed with GGA-PBE.

The formation energy comes out at -0.153 eV/f.u. The value obtained for the relative energy among the computed polymorphs is 0 meV per atom. The calculation puts the raw total energy at -9.40 eV per atom.

The structure belongs to space group R-3m (No. 166, hexagonal axes); the cell edges are 4.0237, 4.0237 and 14.3471 Å and the angles 90.00°, 90.00° and 120.00°. The inequivalent atoms are Gd at (0.0000, 0.0000, 0.0000), Mn at (0.0000, 0.0000, 0.5000) and Co at (0.0000, 0.0000, 0.1946).

A geometry-optimized AlCo2Au2 structure, computed with GGA-PBE.

The formation energy comes out at 0.220 eV/f.u. The calculation puts the raw total energy at -4.86 eV per atom.

The structure belongs to space group P4/mbm (No. 127); the cell edges are 6.1392, 6.1392 and 3.9457 Å and the angles 90.00°, 90.00° and 90.00°. The inequivalent atoms are Al at (0.0000, 0.0000, 0.0000), Co at (0.1288, 0.3712, 0.0000) and Au at (0.1720, 0.6720, 0.5000).

A geometry-optimized La6Mg23P structure, computed with GGA-PBE.

The formation energy comes out at -6.639 eV/f.u. The calculation puts the raw total energy at -2.61 eV per atom.

The structure belongs to space group Fm-3m (No. 225); the cell edges are 14.6162, 14.6162 and 14.6162 Å and the angles 90.00°, 90.00° and 90.00°. The inequivalent atoms are La at (0.0000, 0.0000, 0.2010), Mg at (0.0000, 0.0000, 0.5000), Mg at (0.0000, 0.2500, 0.2500), Mg at (0.1218, 0.1218, 0.3782), Mg at (0.1717, 0.1717, 0.1717) and P at (0.0000, 0.0000, 0.0000).

A geometry-optimized PmNdDyLu structure, computed with GGA-PBE.

The formation energy comes out at 0.458 eV/f.u. The calculation puts the raw total energy at -4.55 eV per atom.

The structure belongs to space group F-43m (No. 216); the cell edges are 8.0678, 8.0678 and 8.0678 Å and the angles 90.00°, 90.00° and 90.00°. The inequivalent atoms are Pm at (0.0000, 0.0000, 0.0000), Nd at (0.0000, 0.0000, 0.5000), Dy at (0.2500, 0.2500, 0.2500) and Lu at (0.2500, 0.2500, 0.7500).

A geometry-optimized DyMgInRu structure, computed with GGA-PBE.

The formation energy comes out at -0.547 eV/f.u. The calculation puts the raw total energy at -4.69 eV per atom.

The structure belongs to space group F-43m (No. 216); the cell edges are 6.8560, 6.8560 and 6.8560 Å and the angles 90.00°, 90.00° and 90.00°. The inequivalent atoms are Dy at (0.0000, 0.0000, 0.0000), Mg at (0.2500, 0.2500, 0.7500), In at (0.0000, 0.0000, 0.5000) and Ru at (0.2500, 0.2500, 0.2500).

A geometry-optimized Er2Ga3Fe structure, computed with GGA-PBE.

The formation energy comes out at -2.882 eV/f.u. The calculation puts the raw total energy at -4.93 eV per atom.

The structure belongs to space group Cm (No. 8); the cell edges are 10.3113, 4.2734 and 7.0627 Å and the angles 90.00°, 132.32° and 90.00°. The inequivalent atoms are Er at (0.0000, 0.0000, 0.0000), Er at (0.0978, 0.0000, 0.5973), Ga at (0.2148, 0.5000, 0.3897), Ga at (0.3773, 0.0000, 0.1765), Ga at (0.4011, 0.0000, 0.6127) and Fe at (0.2128, 0.5000, 0.0074).

A geometry-optimized SmSb2 structure, computed with GGA-PBE.

As for the uncorrected formation energy: -669 meV per atom. The calculation puts the raw total energy at -4.99 eV per atom.

The structure belongs to space group I4/mmm (No. 139); the cell edges are 4.0972, 4.0972 and 10.0000 Å and the angles 90.00°, 90.00° and 90.00°. The inequivalent atoms are Sm at (0.0000, 0.0000, 0.0000) and Sb at (0.0000, 0.0000, 0.3472).

A geometry-optimized K3Tl4AgI8 structure, computed with GGA-PBE.

As for the uncorrected formation energy: -885 meV per atom. The calculation puts the raw total energy at -2.64 eV per atom.

The structure belongs to space group C2/m (No. 12); the cell edges are 17.2078, 9.8297 and 9.9155 Å and the angles 90.00°, 124.51° and 90.00°. The inequivalent atoms are K at (0.0000, 0.0000, 0.0000), K at (0.2500, 0.2500, 0.0000), Tl at (0.0000, 0.0000, 0.5000), Tl at (0.0000, 0.5000, 0.5000), Tl at (0.2500, 0.2500, 0.5000), Ag at (0.0000, 0.5000, 0.0000), I at (0.0001, 0.2780, 0.2217), I at (0.2452, 0.0000, 0.7464) and I at (0.2496, 0.0000, 0.2481).

A geometry-optimized BaZrH2O structure, computed with GGA-PBE.

The calculation puts the raw total energy at -5.64 eV per atom.

The structure belongs to space group P4/mmm (No. 123); the cell edges are 4.1524, 4.1524 and 4.3303 Å and the angles 90.00°, 90.00° and 90.00°. The inequivalent atoms are Ba at (0.0000, 0.0000, 0.0000), Zr at (0.5000, 0.5000, 0.5000), H at (0.0000, 0.5000, 0.5000) and O at (0.5000, 0.5000, 0.0000).

A geometry-optimized BeIr2Se structure, computed with GGA-PBE.

As for the uncorrected formation energy: 160 meV per atom. The value obtained for the relative energy among the computed polymorphs is 125 meV per atom. The calculation puts the raw total energy at -6.07 eV per atom.

The structure belongs to space group Immm (No. 71); the cell edges are 2.8161, 4.0585 and 9.8921 Å and the angles 90.00°, 90.00° and 90.00°. The inequivalent atoms are Be at (0.0000, 0.0000, 0.0000), Ir at (0.0000, 0.5000, 0.3105) and Se at (0.0000, 0.0000, 0.5000).